# 1
Tb4Nd11Sc9 | the Alexandria database | GGA-PBE | relaxed; energy = -5.2371 eV/atom; formation energy = 0.0942 eV/atom; volume = 739.0 Å³ per cell
1.0
-3.176 0.439 1.541
1.897 -12.969 7.605
5.122 12.414 7.021
Nd Sc Tb
11 9 4
Direct
0.000 0.812 0.188 Nd
0.000 0.965 0.595 Nd
0.000 0.035 0.405 Nd
0.000 0.000 0.000 Nd
0.000 0.378 0.622 Nd
0.000 0.790 0.790 Nd
0.000 0.622 0.378 Nd
0.000 0.210 0.210 Nd
0.000 0.405 0.035 Nd
0.000 0.595 0.965 Nd
0.000 0.188 0.812 Nd
0.500 0.500 0.500 Sc
0.500 0.201 0.015 Sc
0.500 0.985 0.799 Sc
0.500 0.386 0.822 Sc
0.500 0.178 0.614 Sc
0.500 0.015 0.201 Sc
0.500 0.799 0.985 Sc
0.500 0.822 0.386 Sc
0.500 0.614 0.178 Sc
0.500 0.584 0.759 Tb
0.500 0.241 0.416 Tb
0.500 0.759 0.584 Tb
0.500 0.416 0.241 Tb

# 2
Li2MgBi | the Alexandria database | GGA-PBE | relaxed; energy = -2.6536 eV/atom; formation energy = -0.3278 eV/atom; volume = 84.8 Å³ per cell; distance to the lowest polymorph of the same formula = 0.0069 eV per atom
1.0
-1.660 -3.315 3.252
-4.714 -1.442 -0.138
-1.141 -4.560 -1.492
Bi Li Mg
1 2 1
Direct
0.500 0.500 0.500 Bi
0.750 0.750 0.750 Li
0.250 0.250 0.250 Li
0.000 0.000 0.000 Mg

# 3
Al2ZnSe | the Alexandria database | GGA-PBE | relaxed; energy = -3.1637 eV/atom; raw formation energy = -0.10 eV per atom; volume = 78.6 Å³ per cell; distance to the lowest polymorph of the same formula = 0.0197 eV per atom
1.0
7.548 0.002 0.001
6.720 3.438 0.001
6.720 1.620 3.032
Zn Al Se
1 2 1
Direct
0.750 0.750 0.750 Zn
0.001 0.001 0.001 Al
0.242 0.242 0.242 Al
0.507 0.507 0.507 Se

# 4
Dy4HoEr3S8 | the Alexandria database | GGA-PBE | relaxed; energy = -6.3281 eV/atom; raw formation energy = -1.97 eV per atom; volume = 332.3 Å³ per cell
1.0
-2.052 -0.299 -7.488
2.735 -7.268 -0.459
-5.276 1.826 5.404
S Dy Er Ho
8 4 3 1
Direct
0.748 0.746 0.997 S
0.749 0.746 0.497 S
0.751 0.254 0.003 S
0.249 0.746 0.499 S
0.751 0.254 0.501 S
0.251 0.254 0.503 S
0.252 0.254 0.003 S
0.249 0.746 0.997 S
0.000 0.000 0.500 Dy
0.500 0.000 0.500 Dy
0.000 0.000 0.000 Dy
0.500 0.000 0.000 Dy
0.500 0.500 0.500 Er
0.000 0.500 0.500 Er
0.500 0.500 0.000 Er
0.000 0.500 0.000 Ho

# 5
TiTl2O | the Alexandria database | GGA-PBE | relaxed; energy = -3.9369 eV/atom; raw formation energy = 0.46 eV per atom; volume = 78.7 Å³ per cell; distance to the lowest polymorph of the same formula = 0.4088 eV per atom
1.0
-1.471 -4.562 -0.411
-0.231 -2.813 3.896
-4.277 -1.317 1.766
Tl O Ti
2 1 1
Direct
0.750 0.750 0.750 Tl
0.250 0.250 0.250 Tl
0.000 0.000 0.000 O
0.500 0.500 0.500 Ti

# 6
Sm2InPd3 | the Alexandria database | GGA-PBE | relaxed; energy = -5.2339 eV/atom; formation energy = -0.6080 eV/atom; volume = 139.0 Å³ per cell
1.0
-4.094 1.341 1.753
0.996 -2.986 4.611
3.902 5.073 -0.938
Sm In Pd
2 1 3
Direct
0.316 0.816 0.632 Sm
0.684 0.184 0.368 Sm
0.000 0.500 0.000 In
0.000 0.000 0.000 Pd
0.633 0.633 0.266 Pd
0.367 0.367 0.734 Pd

# 7
TbScTi4 | the Alexandria database | GGA-PBE | relaxed; energy = -6.8450 eV/atom; formation energy = 0.2453 eV/atom; volume = 131.5 Å³ per cell
1.0
-5.034 2.217 1.523
-2.935 -2.290 4.327
-0.496 2.835 4.929
Ti Tb Sc
4 1 1
Direct
0.626 0.626 0.121 Ti
0.626 0.121 0.626 Ti
0.626 0.626 0.626 Ti
0.121 0.626 0.626 Ti
0.250 0.250 0.250 Tb
0.000 0.000 0.000 Sc

# 8
CdAsIr2 | the Alexandria database | GGA-PBE | relaxed; energy = -5.6799 eV/atom; formation energy = 0.1418 eV/atom; volume = 70.4 Å³ per cell; distance to the lowest polymorph of the same formula = 0.0505 eV per atom
1.0
2.926 0.000 0.000
0.000 2.926 0.000
0.000 0.000 8.228
Ir As Cd
2 1 1
Direct
0.500 0.500 0.251 Ir
0.000 0.000 0.023 Ir
0.000 0.000 0.440 As
0.500 0.500 0.786 Cd

What did the eighth record say?
CdAsIr2 | the Alexandria database | GGA-PBE | relaxed; energy = -5.6799 eV/atom; formation energy = 0.1418 eV/atom; volume = 70.4 Å³ per cell; distance to the lowest polymorph of the same formula = 0.0505 eV per atom
1.0
2.926 0.000 0.000
0.000 2.926 0.000
0.000 0.000 8.228
Ir As Cd
2 1 1
Direct
0.500 0.500 0.251 Ir
0.000 0.000 0.023 Ir
0.000 0.000 0.440 As
0.500 0.500 0.786 Cd

- The lowest volume belongs to which entry?
  CdAsIr2

- What is the volume in the fourth record?
  332.3 Å³ per cell